Record 1
Here is a relaxed CeNd2Bi2 crystal from Alexandria via LeMat-Bulk. Energies are from PBE-GGA.

Cell: 4.488 14.900 10.769 Å, 90.00 90.00 90.00°
Space group Cmc2_1 (No. 36)
One atom of each set of equivalent atoms:
Ce: 0.000 0.148 0.000 x4
Nd: 0.000 0.156 0.398 x4
Nd: 0.000 0.397 0.201 x4
Bi: 0.000 0.257 0.695 x4
Bi: 0.000 0.496 0.949 x4

Formation enthalpy at 0 K, eV/atom: -0.568
Total DFT energy (no corrections), eV per atom: -5.21

---

Record 2
Here is a relaxed MoRu3 crystal from Alexandria via LeMat-Bulk. Energies are from PBE-GGA.

Cell: 4.702 4.702 4.702 Å, 90.00 90.00 90.00°
Space group Pm-3m (No. 221)
One atom of each set of equivalent atoms:
Mo: 0.000 0.000 0.000 x1
Ru: 0.000 0.000 0.500 x3

Formation enthalpy at 0 K, eV/atom: 2.319
Total DFT energy (no corrections), eV per atom: -7.35

---

What is the formula in the first record? CeNd2Bi2